(1)
Density functional theory data (PBE) for a relaxed Li3Er crystal.

Results
SG: Immm, No. 71
crystal system: orthorhombic

a b c (Å): 3.3391 5.3627 5.9604
angles (deg): 116.73 106.27 90.00
Closest atoms and distances in Å follow each position.
Sites, in units of the cell vectors:
Li: 0.7745 0.1914 0.5489  2 Li 2.83
Li: 0.2255 0.6424 0.4511  2 Li 2.83
Er: 0.0000 0.9165 0.0000  12 Li 3.16-3.52, 2 Er 3.34
Li: 0.5000 0.4164 0.0000  4 Li 2.83, 4 Er 3.16

---

(2)
Density functional theory data (PBE) for a relaxed LiEr2Lu crystal.

Results
SG: Fm-3m, No. 225
crystal system: cubic

a b c (Å): 5.3857 5.3857 5.3857
angles (deg): 60.00 60.00 60.00
Closest atoms and distances in Å follow each position.
Sites, in units of the cell vectors:
Li: 0.5000 0.5000 0.5000  8 Er 3.30
Er: 0.2500 0.2500 0.2500  4 Li 3.30, 4 Lu 3.30
Er: 0.7500 0.7500 0.7500  4 Li 3.30, 4 Lu 3.30
Lu: 0.0000 0.0000 0.0000  8 Er 3.30

---

(3)
Density functional theory data (PBE) for a relaxed LiEr2Lu crystal.

Results
SG: R-3m, No. 166
crystal system: trigonal

a b c (Å): 3.4041 3.4041 12.1396
angles (deg): 81.94 81.94 60.00
Closest atoms and distances in Å follow each position.
Sites, in units of the cell vectors:
Lu: 0.5000 0.5000 0.5000  6 Lu 3.40, 6 Er 3.40
Li: 0.0000 0.0000 0.0000  2 Er 3.21, 6 Li 3.40
Er: 0.0893 0.0893 0.7321  1 Li 3.21, 6 Er 3.40, 3 Lu 3.40
Er: 0.9107 0.9107 0.2679  1 Li 3.21, 6 Er 3.40, 3 Lu 3.40

---

(4)
Density functional theory data (PBE) for a relaxed Li4ErLu crystal.

Results
SG: F-43m, No. 216
crystal system: cubic

a b c (Å): 5.7827 5.7827 5.7827
angles (deg): 60.00 60.00 60.00
Closest atoms and distances in Å follow each position.
Sites, in units of the cell vectors:
Er: 0.2500 0.2500 0.2500  12 Li 3.39, 4 Lu 3.54
Li: 0.1245 0.6252 0.6252  6 Li 2.89-2.90
Lu: 0.0000 0.0000 0.0000  12 Li 3.39, 4 Er 3.54
Li: 0.6252 0.1245 0.6252  6 Li 2.89-2.90
Li: 0.6252 0.6252 0.6252  6 Li 2.89-2.90
Li: 0.6252 0.6252 0.1245  6 Li 2.89-2.90

---

(5)
Density functional theory data (PBE) for a relaxed LiEr2Lu crystal.

Results
SG: P4/mmm, No. 123
crystal system: tetragonal

a b c (Å): 3.7577 5.4386 5.4386
angles (deg): 90.00 90.00 90.00
Closest atoms and distances in Å follow each position.
Sites, in units of the cell vectors:
Lu: 0.5000 0.5000 0.5000  8 Er 3.31
Er: 0.0000 0.0000 0.5000  4 Lu 3.31, 4 Li 3.31
Li: 0.5000 0.0000 0.0000  8 Er 3.31
Er: 0.0000 0.5000 0.0000  4 Lu 3.31, 4 Li 3.31

---

(6)
Density functional theory data (PBE) for a relaxed LiErLu2 crystal.

Results
SG: P4/mmm, No. 123
crystal system: tetragonal

a b c (Å): 3.5272 3.5272 8.6712
angles (deg): 90.00 90.00 90.00
Closest atoms and distances in Å follow each position.
Sites, in units of the cell vectors:
Lu: 0.0000 0.0000 0.7769  4 Li 3.16, 4 Er 3.46, 4 Lu 3.53
Er: 0.5000 0.5000 0.5000  8 Lu 3.46, 4 Er 3.53
Li: 0.5000 0.5000 0.0000  8 Lu 3.16, 4 Li 3.53
Lu: 0.0000 0.0000 0.2231  4 Li 3.16, 4 Er 3.46, 4 Lu 3.53

---

For reference, VASP energy by record: -0.0889; -0.1368; -0.1365; -0.0980; -0.1376; -0.1396 Ha/atom.